1.
First-principles (PBE) data for an optimized crystal structure of Li7Tl4Sn, as listed in Alexandria.

Lattice parameters (Å, degrees): 5.191 8.280 7.309 63.49 69.20 71.73
Fractional coordinates of all 12 atoms:
Li 0.807 0.881 0.505
Li 0.193 0.119 0.495
Li 0.076 0.582 0.267
Li 0.924 0.418 0.733
Li 0.221 0.752 0.805
Li 0.500 0.000 0.000
Li 0.779 0.248 0.195
Tl 0.573 0.283 0.572
Tl 0.427 0.717 0.428
Tl 0.682 0.645 0.990
Tl 0.318 0.355 0.010
Sn 0.000 0.000 0.000

Results
spin magnetization = 0.00 μB/f.u.
calculated total energy = -2.391 eV per atom


2.
First-principles (PBE) data for an optimized crystal structure of Ac3Al2Te8, as listed in Alexandria.

Lattice parameters (Å, degrees): 7.658 7.658 10.282 68.14 68.14 60.00
Fractional coordinates of all 13 atoms:
Ac 0.000 0.000 0.000
Ac 0.797 0.797 0.610
Ac 0.203 0.203 0.390
Al 0.593 0.593 0.221
Al 0.407 0.407 0.779
Te 0.685 0.685 0.946
Te 0.315 0.315 0.054
Te 0.198 0.746 0.311
Te 0.746 0.198 0.311
Te 0.746 0.746 0.311
Te 0.254 0.802 0.689
Te 0.802 0.254 0.689
Te 0.254 0.254 0.689

Results
spin magnetization = 0.00 μB/f.u.
E_form (uncorrected) = -1086.4 kJ/mol of formula units